Entry 1:
First-principles (GGA-PBE) data for a geometry-optimized BiPdS3 structure, as listed in the Alexandria database.

Computed properties:
N(E_F) (states/eV/f.u.): 2.9
Total magnetic moment (μB/atom): 0.000
E_tot (eV/cell): -90.3
Distance to the lowest polymorph of the same formula (meV per atom): 0
Space group: Pnma (62)
Uncorrected formation energy (meV/atom): -225

Unit cell a=8.8105 b=3.8158 c=12.7241 alpha=90.00 beta=90.00 gamma=90.00
Last column: nearest neighbours and their distance in Å.
Positions (direct):
Bi: 0.0092 0.2500 0.1630  4 S 2.71-2.98
Bi: 0.4908 0.7500 0.6630  4 S 2.71-2.98
Bi: 0.5092 0.2500 0.3370  4 S 2.71-2.98
Bi: 0.9908 0.7500 0.8370  4 S 2.71-2.98
Pd: 0.1626 0.7500 0.4536  6 S 2.41-2.54
Pd: 0.3374 0.2500 0.9536  6 S 2.41-2.54
Pd: 0.6626 0.7500 0.0464  6 S 2.41-2.54
Pd: 0.8374 0.2500 0.5464  6 S 2.41-2.54
S: 0.0074 0.2500 0.3973  3 Pd 2.42-2.45
S: 0.1682 0.7500 0.0133  2 Pd 2.54, 1 Bi 2.73
S: 0.1985 0.2500 0.7903  1 Pd 2.41
S: 0.3015 0.7500 0.2903  1 Pd 2.41
S: 0.3318 0.2500 0.5133  2 Pd 2.54, 1 Bi 2.73
S: 0.4926 0.7500 0.8973  3 Pd 2.42-2.45
S: 0.5074 0.2500 0.1027  3 Pd 2.42-2.45
S: 0.6682 0.7500 0.4867  2 Pd 2.54, 1 Bi 2.73
S: 0.6985 0.2500 0.7097  1 Pd 2.41
S: 0.8015 0.7500 0.2097  1 Pd 2.41
S: 0.8318 0.2500 0.9867  2 Pd 2.54, 1 Bi 2.73
S: 0.9926 0.7500 0.6027  3 Pd 2.42-2.45

Entry 2:
First-principles (GGA-PBE) data for a geometry-optimized Si2BiPdS structure, as listed in the Alexandria database.

Computed properties:
N(E_F) (states/eV/f.u.): 3.7
Total magnetic moment (μB/atom): 0.000
E_tot (eV/cell): -17.3
Space group: P4/mmm (123)
Uncorrected formation energy (meV/atom): 1343

Unit cell a=5.3818 b=5.3818 c=5.0398 alpha=90.00 beta=90.00 gamma=90.00
Last column: nearest neighbours and their distance in Å.
Positions (direct):
Si: 0.0000 0.5000 0.0000  2 Bi 2.69
Si: 0.5000 0.0000 0.0000  2 Bi 2.69
Bi: 0.0000 0.0000 0.0000  2 Pd 2.52, 4 Si 2.69
Pd: 0.0000 0.0000 0.5000  2 Bi 2.52
S: 0.5000 0.5000 0.5000  8 Si 3.69, 4 Pd 3.81

Entry 3:
First-principles (GGA-PBE) data for a geometry-optimized TlBiPdS2 structure, as listed in the Alexandria database.

Computed properties:
N(E_F) (states/eV/f.u.): 3.3
Total magnetic moment (μB/atom): 0.000
E_tot (eV/cell): -16.3
Space group: P4/mmm (123)
Uncorrected formation energy (meV/atom): 678

Unit cell a=5.1133 b=5.1133 c=5.1297 alpha=90.00 beta=90.00 gamma=90.00
Last column: nearest neighbours and their distance in Å.
Positions (direct):
Tl: 0.0000 0.0000 0.0000  4 S 2.56, 2 Pd 2.56
Bi: 0.5000 0.5000 0.5000  4 Pd 3.62, 8 S 3.62
Pd: 0.0000 0.0000 0.5000  2 Tl 2.56
S: 0.0000 0.5000 0.0000  2 Tl 2.56
S: 0.5000 0.0000 0.0000  2 Tl 2.56

Entry 4:
First-principles (GGA-PBE) data for a geometry-optimized UBiPdS4 structure, as listed in the Alexandria database.

Computed properties:
N(E_F) (states/eV/f.u.): 7.3
Total magnetic moment (μB/atom): 0.257
E_tot (eV/cell): -82.5
Space group: P2_1/m (11)
Uncorrected formation energy (meV/atom): -626

Unit cell a=6.6122 b=5.9150 c=8.1202 alpha=90.00 beta=107.36 gamma=90.00
Last column: nearest neighbours and their distance in Å.
Positions (direct):
U: 0.2387 0.2500 0.0469  6 S 2.69-2.90
U: 0.7613 0.7500 0.9531  6 S 2.69-2.90
Bi: 0.2820 0.2500 0.5298  2 S 2.63-2.74
Bi: 0.7180 0.7500 0.4702  2 S 2.63-2.74
Pd: 0.2335 0.7500 0.8580  4 S 2.32-2.54
Pd: 0.7665 0.2500 0.1420  4 S 2.32-2.54
S: 0.0398 0.5155 0.2278  1 Pd 2.34
S: 0.0398 0.9845 0.2278  1 Pd 2.34
S: 0.4240 0.7500 0.6281  1 Pd 2.54, 1 Bi 2.63
S: 0.4775 0.7500 0.1306  1 Pd 2.32
S: 0.5225 0.2500 0.8694  1 Pd 2.32
S: 0.5760 0.2500 0.3719  1 Pd 2.54, 1 Bi 2.63
S: 0.9602 0.0155 0.7722  1 Pd 2.34
S: 0.9602 0.4845 0.7722  1 Pd 2.34

Entry 5:
First-principles (GGA-PBE) data for a geometry-optimized U3BiPd4S12 structure, as listed in the Alexandria database.

Computed properties:
N(E_F) (states/eV/f.u.): 11.7
Total magnetic moment (μB/atom): 0.000
E_tot (eV/cell): -119.7
Space group: R32 (155)
Uncorrected formation energy (meV/atom): -585

Unit cell a=8.3398 b=8.3398 c=8.3398 alpha=106.18 beta=106.18 gamma=106.18
Last column: nearest neighbours and their distance in Å.
Positions (direct):
U: 0.0000 0.5642 0.4358  6 S 2.51-2.63
U: 0.4358 0.0000 0.5642  6 S 2.51-2.63
U: 0.5642 0.4358 0.0000  6 S 2.51-2.63
Bi: 0.0000 0.0000 0.0000  6 S 2.89
Pd: 0.0915 0.5000 0.9085  3 S 2.30-2.40
Pd: 0.5000 0.5000 0.5000  3 S 2.23
Pd: 0.5000 0.9085 0.0915  3 S 2.30-2.40
Pd: 0.9085 0.0915 0.5000  3 S 2.30-2.40
S: 0.0238 0.6863 0.7657  1 Pd 2.30
S: 0.0886 0.9114 0.5000  1 Pd 2.40, 2 U 2.63
S: 0.2343 0.3137 0.9762  1 Pd 2.30
S: 0.3137 0.9762 0.2343  1 Pd 2.30
S: 0.3326 0.6674 0.5000  1 Pd 2.23
S: 0.5000 0.0886 0.9114  1 Pd 2.40, 2 U 2.63
S: 0.5000 0.3326 0.6674  1 Pd 2.23
S: 0.6674 0.5000 0.3326  1 Pd 2.23
S: 0.6863 0.7657 0.0238  1 Pd 2.30
S: 0.7657 0.0238 0.6863  1 Pd 2.30
S: 0.9114 0.5000 0.0886  1 Pd 2.40, 2 U 2.63
S: 0.9762 0.2343 0.3137  1 Pd 2.30

Entry 6:
First-principles (GGA-PBE) data for a geometry-optimized Y2BiPdS structure, as listed in the Alexandria database.

Computed properties:
N(E_F) (states/eV/f.u.): 4.6
Total magnetic moment (μB/atom): 0.000
E_tot (eV/cell): -28.0
Space group: P4/mmm (123)
Uncorrected formation energy (meV/atom): -377

Unit cell a=5.1192 b=5.1192 c=5.3364 alpha=90.00 beta=90.00 gamma=90.00
Last column: nearest neighbours and their distance in Å.
Positions (direct):
Y: 0.0000 0.5000 0.0000  2 S 2.56
Y: 0.5000 0.0000 0.0000  2 S 2.56
Bi: 0.0000 0.0000 0.5000  2 S 2.67
Pd: 0.5000 0.5000 0.5000  4 Bi 3.62, 8 Y 3.70
S: 0.0000 0.0000 0.0000  4 Y 2.56, 2 Bi 2.67

Entry 7:
First-principles (GGA-PBE) data for a geometry-optimized Zn2BiPdS structure, as listed in the Alexandria database.

Computed properties:
N(E_F) (states/eV/f.u.): 2.4
Total magnetic moment (μB/atom): 0.000
E_tot (eV/cell): -14.9
Space group: P4/mmm (123)
Uncorrected formation energy (meV/atom): 166

Unit cell a=4.7457 b=4.7457 c=5.3924 alpha=90.00 beta=90.00 gamma=90.00
Last column: nearest neighbours and their distance in Å.
Positions (direct):
Zn: 0.0000 0.5000 0.0000  2 Pd 2.37
Zn: 0.5000 0.0000 0.0000  2 Pd 2.37
Bi: 0.0000 0.0000 0.5000  2 Pd 2.70
Pd: 0.0000 0.0000 0.0000  4 Zn 2.37
S: 0.5000 0.5000 0.5000  4 Bi 3.36, 8 Zn 3.59

Entry 8:
First-principles (GGA-PBE) data for a geometry-optimized Bi2SbPd8 structure, as listed in the Alexandria database.

Computed properties:
N(E_F) (states/eV/f.u.): 5.1
Total magnetic moment (μB/atom): 0.000
E_tot (eV/cell): -56.6
Distance to the lowest polymorph of the same formula (meV per atom): 12
Space group: Immm (71)
Uncorrected formation energy (meV/atom): -287

Unit cell a=7.6216 b=7.6216 c=7.6216 alpha=149.33 beta=114.66 gamma=73.89
Last column: nearest neighbours and their distance in Å.
Positions (direct):
Bi: 0.1524 0.1524 0.0000  10 Pd 2.86-3.02
Bi: 0.8476 0.8476 0.0000  10 Pd 2.86-3.02
Sb: 0.5000 0.5000 0.0000  12 Pd 2.80-2.92
Pd: 0.0889 0.3360 0.7529  7 Pd 2.84-2.91, 1 Sb 2.85, 3 Bi 2.90-3.02
Pd: 0.2642 0.0000 0.2642  2 Sb 2.80, 6 Pd 2.84-2.86, 2 Bi 2.86
Pd: 0.3271 0.8271 0.5000  8 Pd 2.86-2.88, 2 Sb 2.92, 2 Bi 2.93
Pd: 0.4169 0.6640 0.7529  7 Pd 2.84-2.91, 1 Sb 2.85, 3 Bi 2.90-3.02
Pd: 0.5831 0.3360 0.2471  7 Pd 2.84-2.91, 1 Sb 2.85, 3 Bi 2.90-3.02
Pd: 0.6729 0.1729 0.5000  8 Pd 2.86-2.88, 2 Sb 2.92, 2 Bi 2.93
Pd: 0.7358 0.0000 0.7358  2 Sb 2.80, 6 Pd 2.84-2.86, 2 Bi 2.86
Pd: 0.9111 0.6640 0.2471  7 Pd 2.84-2.91, 1 Sb 2.85, 3 Bi 2.90-3.02

Entry 9:
First-principles (GGA-PBE) data for a geometry-optimized BiSb2Pd9 structure, as listed in the Alexandria database.

Computed properties:
N(E_F) (states/eV/f.u.): 8.7
Total magnetic moment (μB/atom): 0.000
E_tot (eV/cell): -62.7
Space group: P4/mmm (123)
Uncorrected formation energy (meV/atom): -317

Unit cell a=4.0889 b=4.0889 c=12.2413 alpha=90.00 beta=90.00 gamma=90.00
Last column: nearest neighbours and their distance in Å.
Positions (direct):
Bi: 0.0000 0.0000 0.0000  12 Pd 2.89-2.96
Sb: 0.0000 0.0000 0.3357  12 Pd 2.84-2.89
Sb: 0.0000 0.0000 0.6643  12 Pd 2.84-2.89
Pd: 0.0000 0.5000 0.1746  2 Sb 2.84, 8 Pd 2.85-2.96, 2 Bi 2.96
Pd: 0.0000 0.5000 0.5000  8 Pd 2.86-2.89, 4 Sb 2.87
Pd: 0.0000 0.5000 0.8254  2 Sb 2.84, 8 Pd 2.85-2.96, 2 Bi 2.96
Pd: 0.5000 0.0000 0.1746  2 Sb 2.84, 8 Pd 2.85-2.96, 2 Bi 2.96
Pd: 0.5000 0.0000 0.5000  8 Pd 2.86-2.89, 4 Sb 2.87
Pd: 0.5000 0.0000 0.8254  2 Sb 2.84, 8 Pd 2.85-2.96, 2 Bi 2.96
Pd: 0.5000 0.5000 0.0000  4 Bi 2.89, 8 Pd 2.96
Pd: 0.5000 0.5000 0.3371  8 Pd 2.85-2.86, 4 Sb 2.89
Pd: 0.5000 0.5000 0.6629  8 Pd 2.85-2.86, 4 Sb 2.89

Entry 10:
First-principles (GGA-PBE) data for a geometry-optimized BiSb12Pd4 structure, as listed in the Alexandria database.

Computed properties:
N(E_F) (states/eV/f.u.): 6.4
Total magnetic moment (μB/atom): 0.000
E_tot (eV/cell): -77.5
Space group: Im-3 (204)
Uncorrected formation energy (meV/atom): -197

Unit cell a=8.3101 b=8.3101 c=8.3101 alpha=109.47 beta=109.47 gamma=109.47
Last column: nearest neighbours and their distance in Å.
Positions (direct):
Bi: 0.0000 0.0000 0.0000  12 Sb 3.58
Sb: 0.1527 0.4926 0.3399  2 Pd 2.71, 1 Sb 2.93
Sb: 0.1527 0.8128 0.6601  2 Pd 2.71, 1 Sb 2.93
Sb: 0.1872 0.3399 0.8473  2 Pd 2.71, 1 Sb 2.93
Sb: 0.3399 0.1527 0.4926  2 Pd 2.71, 1 Sb 2.93
Sb: 0.3399 0.8473 0.1872  2 Pd 2.71, 1 Sb 2.93
Sb: 0.4926 0.3399 0.1527  2 Pd 2.71, 1 Sb 2.93
Sb: 0.5074 0.6601 0.8473  2 Pd 2.71, 1 Sb 2.93
Sb: 0.6601 0.1527 0.8128  2 Pd 2.71, 1 Sb 2.93
Sb: 0.6601 0.8473 0.5074  2 Pd 2.71, 1 Sb 2.93
Sb: 0.8128 0.6601 0.1527  2 Pd 2.71, 1 Sb 2.93
Sb: 0.8473 0.1872 0.3399  2 Pd 2.71, 1 Sb 2.93
Sb: 0.8473 0.5074 0.6601  2 Pd 2.71, 1 Sb 2.93
Pd: 0.0000 0.0000 0.5000  6 Sb 2.71
Pd: 0.0000 0.5000 0.0000  6 Sb 2.71
Pd: 0.5000 0.0000 0.0000  6 Sb 2.71
Pd: 0.5000 0.5000 0.5000  6 Sb 2.71

Entry 11:
First-principles (GGA-PBE) data for a geometry-optimized Bi3SbPd8 structure, as listed in the Alexandria database.

Computed properties:
N(E_F) (states/eV/f.u.): 6.0
Total magnetic moment (μB/atom): 0.000
E_tot (eV/cell): -59.8
Space group: Cm (8)
Uncorrected formation energy (meV/atom): -208

Unit cell a=6.1361 b=6.1361 c=7.8150 alpha=111.15 beta=111.15 gamma=92.08
Last column: nearest neighbours and their distance in Å.
Positions (direct):
Bi: 0.0000 0.0000 0.0000  7 Pd 2.73-3.04
Bi: 0.2518 0.7967 0.4754  8 Pd 2.73-2.93
Bi: 0.7967 0.2518 0.4754  8 Pd 2.73-2.93
Sb: 0.5532 0.5532 0.9854  7 Pd 2.60-2.74
Pd: 0.1669 0.6561 0.7521  1 Sb 2.68, 3 Bi 2.80-2.86, 1 Pd 2.91
Pd: 0.1839 0.1839 0.7951  1 Sb 2.69, 3 Bi 2.76-2.93, 2 Pd 2.91-2.94
Pd: 0.2468 0.2468 0.4628  3 Bi 2.80-3.10, 7 Pd 2.82-2.91
Pd: 0.4146 0.8955 0.2096  1 Sb 2.60, 3 Bi 2.73-2.84, 1 Pd 2.86
Pd: 0.4177 0.4177 0.2351  1 Sb 2.74, 5 Pd 2.82-3.05, 3 Bi 2.89-3.04
Pd: 0.6345 0.6345 0.6917  1 Sb 2.72, 3 Bi 2.78-2.81, 1 Pd 2.82
Pd: 0.6561 0.1669 0.7521  1 Sb 2.68, 3 Bi 2.80-2.86, 1 Pd 2.91
Pd: 0.8955 0.4146 0.2096  1 Sb 2.60, 3 Bi 2.73-2.84, 1 Pd 2.86

Entry 12:
First-principles (GGA-PBE) data for a geometry-optimized Bi3SbPd12 structure, as listed in the Alexandria database.

Computed properties:
N(E_F) (states/eV/f.u.): 12.5
Total magnetic moment (μB/atom): 0.000
E_tot (eV/cell): -82.2
Space group: P4/mmm (123)
Uncorrected formation energy (meV/atom): -259

Unit cell a=4.1280 b=4.1280 c=16.4213 alpha=90.00 beta=90.00 gamma=90.00
Last column: nearest neighbours and their distance in Å.
Positions (direct):
Bi: 0.0000 0.0000 0.0000  12 Pd 2.92-2.93
Bi: 0.0000 0.0000 0.2529  12 Pd 2.92-2.95
Bi: 0.0000 0.0000 0.7471  12 Pd 2.92-2.95
Sb: 0.0000 0.0000 0.5000  12 Pd 2.84-2.92
Pd: 0.0000 0.5000 0.1263  8 Pd 2.92-2.94, 4 Bi 2.93
Pd: 0.0000 0.5000 0.3812  2 Sb 2.84, 8 Pd 2.84-2.94, 2 Bi 2.95
Pd: 0.0000 0.5000 0.6188  2 Sb 2.84, 8 Pd 2.84-2.94, 2 Bi 2.95
Pd: 0.0000 0.5000 0.8737  8 Pd 2.92-2.94, 4 Bi 2.93
Pd: 0.5000 0.0000 0.1263  8 Pd 2.92-2.94, 4 Bi 2.93
Pd: 0.5000 0.0000 0.3812  2 Sb 2.84, 8 Pd 2.84-2.94, 2 Bi 2.95
Pd: 0.5000 0.0000 0.6188  2 Sb 2.84, 8 Pd 2.84-2.94, 2 Bi 2.95
Pd: 0.5000 0.0000 0.8737  8 Pd 2.92-2.94, 4 Bi 2.93
Pd: 0.5000 0.5000 0.0000  4 Bi 2.92, 8 Pd 2.93
Pd: 0.5000 0.5000 0.2535  4 Bi 2.92, 8 Pd 2.94
Pd: 0.5000 0.5000 0.5000  8 Pd 2.84, 4 Sb 2.92
Pd: 0.5000 0.5000 0.7465  4 Bi 2.92, 8 Pd 2.94

Question: Which value of uncorrected formation energy does entry 1 give?
Answer: -225 meV/atom

Question: Look up the uncorrected formation energy of the ninth one.
Answer: -317 meV/atom

Question: Which value of uncorrected formation energy does entry 12 give?
Answer: -259 meV/atom

Question: What is the total magnetic moment in the fourth record?
Answer: 0.257 μB/atom